{"formula": "CaZnPb2", "functional": "GGA-PBE", "state": "optimized geometry", "volume_a3_per_atom": 27.90, "n_ef_per_ev_cell": 2.23, "e_tot_ev_per_atom": -2.81, "cell": [[-2.146, -1.278, -3.033], [-0.912, -3.247, 2.014], [-5.818, 3.321, 2.719]], "species": ["Pb", "Pb", "Ca", "Zn"], "fractional_positions": [[0.500, 0.500, 0.271], [0.000, 0.000, 0.014], [0.500, 0.500, 0.729], [0.000, 0.000, 0.486]]}


{"formula": "Ca4ZnPb3", "functional": "GGA-PBE", "state": "optimized geometry", "volume_a3_per_atom": 29.15, "n_ef_per_ev_cell": 5.18, "e_tot_ev_per_atom": -3.00, "cell": [[-2.040, 4.599, 2.160], [-5.283, 0.251, 1.417], [-0.373, -1.331, 9.421]], "species": ["Ca", "Ca", "Ca", "Ca", "Zn", "Pb", "Pb", "Pb"], "fractional_positions": [[0.877, 0.877, 0.368], [0.123, 0.123, 0.632], [0.373, 0.373, 0.881], [0.627, 0.627, 0.119], [0.000, 0.000, 0.000], [0.252, 0.252, 0.245], [0.748, 0.748, 0.755], [0.500, 0.500, 0.500]]}


{"formula": "Ca4ZnPb", "functional": "GGA-PBE", "state": "optimized geometry", "volume_a3_per_atom": 35.81, "n_ef_per_ev_cell": 6.07, "e_above_lowest_polymorph_ev_per_atom": 0.4904, "e_tot_ev_per_atom": -1.90, "cell": [[0.000, 4.754, 4.754], [4.754, 0.000, 4.754], [4.754, 4.754, 0.000]], "species": ["Ca", "Ca", "Ca", "Ca", "Pb", "Zn"], "fractional_positions": [[0.376, 0.873, 0.376], [0.376, 0.376, 0.376], [0.873, 0.376, 0.376], [0.376, 0.376, 0.873], [0.750, 0.750, 0.750], [0.000, 0.000, 0.000]]}


{"formula": "Ca4ZnPb2", "functional": "GGA-PBE", "state": "optimized geometry", "volume_a3_per_atom": 31.82, "n_ef_per_ev_cell": 0.30, "e_tot_ev_per_atom": -2.86, "cell": [[5.160, 0.000, 1.612], [2.328, 4.605, 1.612], [-0.085, -0.052, 9.337]], "species": ["Pb", "Pb", "Ca", "Ca", "Ca", "Ca", "Zn"], "fractional_positions": [[0.248, 0.248, 0.255], [0.752, 0.752, 0.745], [0.374, 0.374, 0.879], [0.626, 0.626, 0.121], [0.877, 0.877, 0.370], [0.123, 0.123, 0.630], [0.000, 0.000, 0.000]]}